P:
CaScSe2 | PBE-GGA | optimized geometry

Properties
Fermi-level density of states	2.996	states/eV/f.u.
magnetic moment	0.76	μB per formula unit

Cell lengths 3.918, 3.918, 13.557 Å; angles 90.00, 90.00, 90.00 degrees
Space group I-4m2 (No. 119)
Symmetry-distinct sites (fractional):
Ca  0.000  0.000  0.000 (multiplicity 2)
Sc  0.000  0.500  0.750 (multiplicity 2)
Se  0.000  0.000  0.500 (multiplicity 2)
Se  0.000  0.500  0.250 (multiplicity 2)

Q:
CaScSe2 | PBE-GGA | optimized geometry

Properties
Fermi-level density of states	3.070	states/eV/f.u.
magnetic moment	0.00	μB per formula unit

Cell lengths 4.3000, 4.3000, 24.4237 Å; angles 90.00, 90.00, 120.00 degrees
Space group R-3m (No. 166, hexagonal axes)
Symmetry-distinct sites (fractional):
Ca  0.0000  0.0000  0.0000 (multiplicity 3)
Sc  0.0000  0.0000  0.5000 (multiplicity 3)
Se  0.0000  0.0000  0.3986 (multiplicity 6)

R:
CaScSe2 | PBE-GGA | optimized geometry

Properties
Fermi-level density of states	2.137	states/eV/f.u.
magnetic moment	0.83	μB per formula unit

Cell lengths 3.503, 4.992, 5.003 Å; angles 90.00, 90.00, 90.00 degrees
Space group Pmmm (No. 47)
Symmetry-distinct sites (fractional):
Ca  0.000  0.000  0.000 (multiplicity 1)
Sc  0.000  0.500  0.500 (multiplicity 1)
Se  0.500  0.000  0.500 (multiplicity 1)
Se  0.500  0.500  0.000 (multiplicity 1)

Most stable to least stable: R, P, Q

P:
CaScSe2 | PBE-GGA | optimized geometry

Properties
Fermi-level density of states	3.493	states/eV/f.u.
magnetic moment	0.00	μB per formula unit

Cell lengths 6.365, 6.365, 12.374 Å; angles 90.00, 90.00, 90.00 degrees
Space group I-42d (No. 122)
Symmetry-distinct sites (fractional):
Ca  0.000  0.000  0.000 (multiplicity 4)
Sc  0.000  0.000  0.500 (multiplicity 4)
Se  0.221  0.250  0.625 (multiplicity 8)

Q:
CaScSe2 | PBE-GGA | optimized geometry

Properties
Fermi-level density of states	2.637	states/eV/f.u.
magnetic moment	0.00	μB per formula unit

Cell lengths 3.9336, 3.9336, 20.9208 Å; angles 90.00, 90.00, 120.00 degrees
Space group R3m (No. 160, hexagonal axes)
Symmetry-distinct sites (fractional):
Ca  0.0000  0.0000  0.0000 (multiplicity 3)
Sc  0.0000  0.0000  0.1731 (multiplicity 3)
Se  0.0000  0.0000  0.5795 (multiplicity 3)
Se  0.0000  0.0000  0.7612 (multiplicity 3)

Most stable to least stable: Q, P

P:
CaScSe2 | PBE-GGA | optimized geometry

Properties
Fermi-level density of states	4.306	states/eV/f.u.
magnetic moment	0.95	μB per formula unit

Cell lengths 7.041, 7.041, 7.041 Å; angles 90.00, 90.00, 90.00 degrees
Space group Fm-3m (No. 225)
Symmetry-distinct sites (fractional):
Ca  0.000  0.000  0.000 (multiplicity 4)
Sc  0.000  0.000  0.500 (multiplicity 4)
Se  0.250  0.250  0.250 (multiplicity 8)

Q:
CaScSe2 | PBE-GGA | optimized geometry

Properties
Fermi-level density of states	2.091	states/eV/f.u.
magnetic moment	0.80	μB per formula unit

Cell lengths 3.981, 6.630, 7.796 Å; angles 90.00, 90.00, 90.00 degrees
Space group Immm (No. 71)
Symmetry-distinct sites (fractional):
Ca  0.000  0.000  0.000 (multiplicity 2)
Sc  0.000  0.000  0.500 (multiplicity 2)
Se  0.000  0.500  0.229 (multiplicity 4)

R:
CaScSe2 | PBE-GGA | optimized geometry

Properties
Fermi-level density of states	1.486	states/eV/f.u.
magnetic moment	0.00	μB per formula unit

Cell lengths 4.028, 4.028, 5.698 Å; angles 90.00, 90.00, 90.00 degrees
Space group P4/mmm (No. 123)
Symmetry-distinct sites (fractional):
Ca  0.000  0.000  0.000 (multiplicity 1)
Sc  0.500  0.500  0.500 (multiplicity 1)
Se  0.000  0.000  0.500 (multiplicity 1)
Se  0.500  0.500  0.000 (multiplicity 1)

Most stable to least stable: R, Q, P

P:
CaScSi3 | PBE-GGA | optimized geometry

Properties
Fermi-level density of states	4.112	states/eV/f.u.
magnetic moment	0.00	μB per formula unit

Cell lengths 5.041, 5.041, 5.041 Å; angles 90.00, 90.00, 90.00 degrees
Space group Pm-3m (No. 221)
Symmetry-distinct sites (fractional):
Ca  0.000  0.000  0.000 (multiplicity 1)
Sc  0.500  0.500  0.500 (multiplicity 1)
Si  0.000  0.000  0.500 (multiplicity 3)

Q:
CaScSi3 | PBE-GGA | optimized geometry

Properties
Fermi-level density of states	2.924	states/eV/f.u.
magnetic moment	0.00	μB per formula unit

Cell lengths 4.982, 4.982, 4.982 Å; angles 90.00, 90.00, 90.00 degrees
Space group Pm-3m (No. 221)
Symmetry-distinct sites (fractional):
Ca  0.000  0.000  0.000 (multiplicity 1)
Sc  0.500  0.500  0.500 (multiplicity 1)
Si  0.000  0.500  0.500 (multiplicity 3)

Most stable to least stable: Q, P

P:
CaScSi4 | PBE-GGA | optimized geometry

Properties
Fermi-level density of states	2.269	states/eV/f.u.
magnetic moment	0.00	μB per formula unit

Cell lengths 7.413, 15.875, 3.987 Å; angles 90.00, 90.00, 90.00 degrees
Space group Pbam (No. 55)
Symmetry-distinct sites (fractional):
Ca  0.118  0.162  0.000 (multiplicity 4)
Sc  0.126  0.413  0.000 (multiplicity 4)
Si  0.042  0.687  0.500 (multiplicity 4)
Si  0.112  0.946  0.500 (multiplicity 4)
Si  0.138  0.541  0.500 (multiplicity 4)
Si  0.227  0.805  0.500 (multiplicity 4)

Q:
CaScSi4 | PBE-GGA | optimized geometry

Properties
Fermi-level density of states	3.270	states/eV/f.u.
magnetic moment	0.00	μB per formula unit

Cell lengths 7.407, 7.407, 7.407 Å; angles 90.00, 90.00, 90.00 degrees
Space group F-43m (No. 216)
Symmetry-distinct sites (fractional):
Ca  0.000  0.000  0.000 (multiplicity 4)
Sc  0.250  0.250  0.750 (multiplicity 4)
Si  0.124  0.124  0.376 (multiplicity 16)

Most stable to least stable: P, Q

P:
CaSc2Sn2 | PBE-GGA | optimized geometry

Properties
Fermi-level density of states	4.505	states/eV/f.u.
magnetic moment	0.44	μB per formula unit

Cell lengths 8.648, 8.648, 3.454 Å; angles 90.00, 90.00, 90.00 degrees
Space group P4/mbm (No. 127)
Symmetry-distinct sites (fractional):
Ca  0.000  0.000  0.000 (multiplicity 2)
Sc  0.134  0.366  0.500 (multiplicity 4)
Sn  0.163  0.663  0.000 (multiplicity 4)

Q:
CaSc2Sn2 | PBE-GGA | optimized geometry

Properties
Fermi-level density of states	3.509	states/eV/f.u.
magnetic moment	0.88	μB per formula unit

Cell lengths 5.478, 5.478, 10.045 Å; angles 90.00, 90.00, 90.00 degrees
Space group I4/mmm (No. 139)
Symmetry-distinct sites (fractional):
Ca  0.000  0.000  0.000 (multiplicity 2)
Sc  0.000  0.000  0.334 (multiplicity 4)
Sn  0.000  0.500  0.250 (multiplicity 4)

Most stable to least stable: P, Q

P:
CaSc3Sn | PBE-GGA | optimized geometry

Properties
Fermi-level density of states	7.259	states/eV/f.u.
magnetic moment	0.00	μB per formula unit

Cell lengths 5.143, 5.143, 5.143 Å; angles 90.00, 90.00, 90.00 degrees
Space group Pm-3m (No. 221)
Symmetry-distinct sites (fractional):
Ca  0.000  0.000  0.000 (multiplicity 1)
Sc  0.000  0.000  0.500 (multiplicity 3)
Sn  0.500  0.500  0.500 (multiplicity 1)

Q:
CaSc3Sn | PBE-GGA | optimized geometry

Properties
Fermi-level density of states	12.094	states/eV/f.u.
magnetic moment	0.00	μB per formula unit

Cell lengths 5.482, 5.482, 5.482 Å; angles 90.00, 90.00, 90.00 degrees
Space group Pm-3m (No. 221)
Symmetry-distinct sites (fractional):
Ca  0.000  0.000  0.000 (multiplicity 1)
Sc  0.000  0.500  0.500 (multiplicity 3)
Sn  0.500  0.500  0.500 (multiplicity 1)

Most stable to least stable: Q, P

P:
Ca3ScSn | PBE-GGA | optimized geometry

Properties
Fermi-level density of states	4.162	states/eV/f.u.
magnetic moment	2.84	μB per formula unit

Cell lengths 5.820, 5.820, 5.820 Å; angles 90.00, 90.00, 90.00 degrees
Space group Pm-3m (No. 221)
Symmetry-distinct sites (fractional):
Ca  0.000  0.000  0.500 (multiplicity 3)
Sc  0.000  0.000  0.000 (multiplicity 1)
Sn  0.500  0.500  0.500 (multiplicity 1)

Q:
Ca3ScSn | PBE-GGA | optimized geometry

Properties
Fermi-level density of states	10.069	states/eV/f.u.
magnetic moment	2.41	μB per formula unit

Cell lengths 5.933, 5.933, 5.933 Å; angles 90.00, 90.00, 90.00 degrees
Space group Pm-3m (No. 221)
Symmetry-distinct sites (fractional):
Ca  0.000  0.000  0.500 (multiplicity 3)
Sc  0.500  0.500  0.500 (multiplicity 1)
Sn  0.000  0.000  0.000 (multiplicity 1)

Most stable to least stable: Q, P